Entry from Alexandria: crystalline InCo2Br at its relaxed geometry (PBE-GGA).

Values from the calculation:
**Calculated volume**: 274 Å³/cell
**Polymorph energy (0 for the lowest one)**: 678 meV/atom
**Formation energy from raw total energies**: 0.93 eV/atom

Unit cell a=6.4985 b=6.4985 c=6.4985 alpha=90.00 beta=90.00 gamma=90.00
Closest atoms and distances in Å follow each position.
Atoms (fractional coordinates):
1 In 0.0000 0.0000 0.0000  4 Co 2.81, 4 Br 2.81
2 In 0.0000 0.5000 0.5000  4 Co 2.81, 4 Br 2.81
3 In 0.5000 0.0000 0.5000  4 Co 2.81, 4 Br 2.81
4 In 0.5000 0.5000 0.0000  4 Co 2.81, 4 Br 2.81
5 Co 0.0000 0.0000 0.5000  4 Br 2.81, 4 Co 2.81
6 Co 0.0000 0.5000 0.0000  4 Br 2.81, 4 Co 2.81
7 Co 0.2500 0.2500 0.2500  4 Co 2.81, 4 In 2.81
8 Co 0.2500 0.7500 0.7500  4 In 2.81, 4 Co 2.81
9 Co 0.5000 0.0000 0.0000  4 Br 2.81, 4 Co 2.81
10 Co 0.5000 0.5000 0.5000  4 Br 2.81, 4 Co 2.81
11 Co 0.7500 0.2500 0.7500  4 In 2.81, 4 Co 2.81
12 Co 0.7500 0.7500 0.2500  4 In 2.81, 4 Co 2.81
13 Br 0.2500 0.2500 0.7500  4 In 2.81, 4 Co 2.81
14 Br 0.2500 0.7500 0.2500  4 In 2.81, 4 Co 2.81
15 Br 0.7500 0.2500 0.2500  4 In 2.81, 4 Co 2.81
16 Br 0.7500 0.7500 0.7500  4 In 2.81, 4 Co 2.81